First-principles (GGA-PBE) data for a relaxed structure of Na2Ac3TmSe6, as listed in the Alexandria database.

Values from the calculation:
- total energy (Ry per atom) = -0.3735
- density (g/cm3) = 6.6
- formation energy (no corrections) (eV/atom) = -1.720
- space-group type = C2/m (12)

Geometry as extended XYZ:
```
12
Lattice="7.563 0.005 0.007 -3.775 6.554 0.007 -1.257 -2.177 6.959" Properties=species:S:1:pos:R:3 pbc="T T T"
Na 0.023 4.360 0.007
Na 3.765 2.199 0.007
Ac -2.452 4.338 3.486
Ac 4.983 0.044 3.486
Ac 1.265 2.191 3.486
Tm 0.000 0.000 0.000
Se 3.738 2.279 5.385
Se 2.581 4.468 1.662
Se -1.207 2.104 1.588
Se 0.106 4.376 5.385
Se -0.050 -0.086 5.310
Se 2.425 0.006 1.588
```

=====

First-principles (GGA-PBE) data for a relaxed structure of MgOs3, as listed in the Alexandria database.

Values from the calculation:
- total energy (Ry per atom) = -0.6318
- density (g/cm3) = 16.6
- space-group type = Pnma (62)

Geometry as extended XYZ:
```
16
Lattice="4.871 0.000 0.000 0.000 8.973 0.000 0.000 0.000 5.459" Properties=species:S:1:pos:R:3 pbc="T T T"
Mg 0.259 6.730 3.469
Mg 2.176 2.243 0.740
Mg 2.695 6.730 4.719
Mg 4.612 2.243 1.990
Os 4.509 2.243 4.690
Os 1.310 8.869 2.072
Os 1.310 4.590 2.072
Os 1.125 4.383 4.802
Os 1.125 0.104 4.802
Os 2.798 6.730 1.961
Os 2.073 2.243 3.498
Os 3.746 8.869 0.658
Os 3.746 4.590 0.658
Os 3.561 4.383 3.387
Os 3.561 0.104 3.387
Os 0.362 6.730 0.769
```